1.
Material: Be4TcPd
Method: DFT, GGA-PBE
State: relaxed

Cell lengths 4.402, 4.402, 4.402 Å; angles 60.00, 60.00, 60.00 degrees
Atoms (fractional coordinates):
Pd (0.250, 0.250, 0.250)
Be (0.627, 0.118, 0.627)
Be (0.627, 0.627, 0.118)
Be (0.118, 0.627, 0.627)
Be (0.627, 0.627, 0.627)
Tc (0.000, 0.000, 0.000)

N(E_F) ... 3.00 states/eV/cell
Total energy ... -31.9 eV for the cell shown
ΔH_f (0 K) ... -22.4 kJ/mol of atoms
Symmetry ... F-43m, No. 216


2.
Material: K2LaCu
Method: DFT, GGA-PBE
State: relaxed

Cell lengths 3.876, 3.874, 11.927 Å; angles 70.29, 90.00, 90.00 degrees
Atoms (fractional coordinates):
K (0.500, 0.230, 0.282)
K (0.000, 0.070, 0.921)
La (0.000, 0.409, 0.592)
Cu (0.500, 0.791, 0.705)

N(E_F) ... 3.10 states/eV/cell
E above lowest polymorph ... 0 meV per atom
Total energy ... -10.6 eV for the cell shown
ΔH_f (0 K) ... 15.6 kJ/mol of atoms
Symmetry ... Pm, No. 6